Record 1
The following is a GGA-PBE calculation of an optimized crystal structure of Cd3PtAu3, from Alexandria.

Cell lengths 9.680, 9.696, 5.972 Å; angles 90.00, 90.13, 90.00 degrees
Space group C2/m (No. 12)
One atom of each set of equivalent atoms:
Cd  0.000  0.160  0.000 [4 per cell]
Cd  0.000  0.245  0.500 [4 per cell]
Cd  0.235  0.000  0.498 [4 per cell]
Pt  0.242  0.000  0.001 [4 per cell]
Au  0.001  0.500  0.238 [4 per cell]
Au  0.250  0.249  0.756 [8 per cell]

Summary:
total energy: -0.102 hartree per atom
offset from the most stable computed form: 0.0 meV/atom
theoretical density: 13.309 g/cm3

=====

Record 2
The following is a GGA-PBE calculation of an optimized crystal structure of Cd3PtAu3, from Alexandria.

Cell lengths 5.612, 12.988, 8.050 Å; angles 90.00, 97.36, 90.00 degrees
Space group C2/m (No. 12)
One atom of each set of equivalent atoms:
Cd  0.123  0.186  0.221 [8 per cell]
Cd  0.248  0.500  0.462 [4 per cell]
Pt  0.143  0.500  0.786 [4 per cell]
Au  0.000  0.298  0.500 [4 per cell]
Au  0.000  0.347  0.000 [4 per cell]
Au  0.151  0.000  0.864 [4 per cell]

Summary:
total energy: -0.101 hartree per atom
offset from the most stable computed form: 30.0 meV/atom
theoretical density: 12.822 g/cm3

=====

Record 3
The following is a GGA-PBE calculation of an optimized crystal structure of CdPtAu, from Alexandria.

Cell lengths 2.974, 4.065, 8.829 Å; angles 90.00, 90.00, 90.00 degrees
Space group Imm2 (No. 44)
One atom of each set of equivalent atoms:
Cd  0.000  0.000  0.000 [2 per cell]
Pt  0.000  0.000  0.663 [2 per cell]
Au  0.000  0.000  0.329 [2 per cell]

Summary:
total energy: -0.132 hartree per atom
offset from the most stable computed form: 13.1 meV/atom
theoretical density: 15.695 g/cm3